TcAs2SeO | PBE-GGA | optimized geometry

- Fermi-level density of states: 4.338 states/eV/f.u.
- M_tot: 0.01 μB/cell
- ΔE_f (raw): 3.9 eV/f.u.
- Energy relative to the lowest polymorph listed for this composition: 1.26 eV per formula unit
- Crystal system: tetragonal
- Final energy: -24.2 eV per cell
- Calculated density: 5.29 g/cm³

a b c (Å): 4.8086 4.8086 4.6512
angles (deg): 90.00 90.00 90.00
Last column: nearest neighbours and their distance in Å.
Space group P4/mmm (No. 123)
Symmetry-distinct sites (fractional):
Tc  0.0000  0.0000  0.0000 (multiplicity 1)  2 Se 2.33, 4 As 2.40
As  0.0000  0.5000  0.0000 (multiplicity 2)  2 Tc 2.40
Se  0.0000  0.0000  0.5000 (multiplicity 1)  2 Tc 2.33
O  0.5000  0.5000  0.5000 (multiplicity 1)  8 As 3.34, 4 Se 3.40